Computed, not measured: a relaxed PmSnHgGe crystal at the PBE level of DFT.

Calculated values
Final energy in Ry/atom: -0.271

Cell lengths 7.391, 7.391, 7.391 Å; angles 90.00, 90.00, 90.00 degrees
Space group F-43m (No. 216)
Unique sites:
Pm 0.000 0.000 0.000
Sn 0.000 0.000 0.500
Hg 0.250 0.250 0.250
Ge 0.250 0.250 0.750



Computed, not measured: a relaxed SrPmHgGe crystal at the PBE level of DFT.

Calculated values
Final energy in Ry/atom: -0.245

Cell lengths 7.645, 7.645, 7.645 Å; angles 90.00, 90.00, 90.00 degrees
Space group F-43m (No. 216)
Unique sites:
Sr 0.000 0.000 0.000
Pm 0.000 0.000 0.500
Hg 0.250 0.250 0.750
Ge 0.250 0.250 0.250



Computed, not measured: a relaxed Pr5Hg2Ge2 crystal at the PBE level of DFT.

Calculated values
Final energy in Ry/atom: -0.320

Cell lengths 16.398, 7.978, 8.026 Å; angles 90.00, 90.00, 90.00 degrees
Space group Cmce (No. 64)
Unique sites:
Pr 0.000 0.000 0.000
Pr 0.129 0.183 0.324
Hg 0.215 0.000 0.000
Ge 0.000 0.120 0.622



Computed, not measured: a relaxed Pr4HgGe2 crystal at the PBE level of DFT.

Calculated values
Final energy in Ry/atom: -0.346

Cell lengths 9.298, 9.298, 9.379 Å; angles 90.00, 90.00, 90.00 degrees
Space group I-42d (No. 122)
Unique sites:
Pr 0.072 0.674 0.434
Hg 0.000 0.000 0.500
Ge 0.131 0.750 0.125



Computed, not measured: a relaxed Pr3HgGe crystal at the PBE level of DFT.

Calculated values
Final energy in Ry/atom: -0.318

Cell lengths 4.307, 7.385, 9.768 Å; angles 90.23, 90.11, 106.90 degrees
Space group P-1 (No. 2)
Unique sites:
Pr 0.046 0.093 0.344
Pr 0.245 0.489 0.672
Pr 0.409 0.823 0.120
Hg 0.182 0.359 0.083
Ge 0.391 0.783 0.430



Computed, not measured: a relaxed Pr6HgGe2 crystal at the PBE level of DFT.

Calculated values
Final energy in Ry/atom: -0.349

Cell lengths 10.089, 10.246, 10.599 Å; angles 90.00, 90.00, 90.00 degrees
Space group Immm (No. 71)
Unique sites:
Pr 0.000 0.199 0.248
Pr 0.204 0.500 0.328
Pr 0.228 0.324 0.000
Hg 0.000 0.000 0.000
Hg 0.000 0.000 0.500
Ge 0.000 0.351 0.500
Ge 0.000 0.500 0.120



- Among the records above, which one has the highest final energy?
  SrPmHgGe